# K2Li2TiO4, single point on PBEsol structure, DFT SCAN
data_K2Li2TiO4
_chemical_formula_sum 'K8 Li8 Ti4 O16'
_space_group_name_H-M_alt 'P 1'
_space_group_IT_number 1
_cell_length_a 5.627
_cell_length_b 8.281
_cell_length_c 11.557
_cell_angle_alpha 90.00
_cell_angle_beta 109.33
_cell_angle_gamma 90.00
loop_
_space_group_symop_operation_xyz
'x,y,z'
loop_
_atom_site_label
_atom_site_type_symbol
_atom_site_fract_x
_atom_site_fract_y
_atom_site_fract_z
K1 K 0.171 0.005 0.326
K2 K 0.171 0.495 0.826
K3 K 0.215 0.204 0.595
K4 K 0.215 0.296 0.095
K5 K 0.785 0.704 0.905
K6 K 0.785 0.796 0.405
K7 K 0.829 0.505 0.174
K8 K 0.829 0.995 0.674
Li1 Li 0.131 0.017 0.929
Li2 Li 0.131 0.483 0.429
Li3 Li 0.396 0.559 0.304
Li4 Li 0.396 0.941 0.804
Li5 Li 0.604 0.059 0.196
Li6 Li 0.604 0.441 0.696
Li7 Li 0.869 0.517 0.571
Li8 Li 0.869 0.983 0.071
Ti1 Ti 0.385 0.705 0.580
Ti2 Ti 0.385 0.795 0.080
Ti3 Ti 0.615 0.205 0.920
Ti4 Ti 0.615 0.295 0.420
O1 O 0.233 0.522 0.611
O2 O 0.233 0.978 0.111
O3 O 0.282 0.162 0.845
O4 O 0.282 0.338 0.345
O5 O 0.293 0.699 0.413
O6 O 0.293 0.801 0.913
O7 O 0.298 0.602 0.130
O8 O 0.298 0.898 0.630
O9 O 0.702 0.102 0.370
O10 O 0.702 0.398 0.870
O11 O 0.707 0.199 0.087
O12 O 0.707 0.301 0.587
O13 O 0.718 0.662 0.655
O14 O 0.718 0.838 0.155
O15 O 0.767 0.022 0.889
O16 O 0.767 0.478 0.389
# Spin magnetization   0.00 μB per formula unit
# Raw total energy   -9.388 eV per atom
# Formation energy (no corrections)   -2.4553 eV/atom
# DOS at the Fermi energy   0.00 states/eV per cell